Here is a relaxed structure of VNi3Pd2 from the Alexandria database. Energies are from GGA-PBE.

Cell lengths 3.7510, 11.1143, 3.6656 Å; angles 90.00, 90.00, 90.00 degrees
Closest atoms and distances in Å follow each position.
Space group Cmmm (No. 65)
Symmetry-distinct sites (fractional):
1 V 0.0000 0.0000 0.0000 [2 per cell]  8 Ni 2.54-2.62, 4 Pd 2.59
2 Ni 0.0000 0.1587 0.5000 [4 per cell]  2 V 2.54, 4 Ni 2.57-2.76, 6 Pd 2.62-2.72
3 Ni 0.0000 0.5000 0.5000 [2 per cell]  4 Pd 2.56, 4 Ni 2.57, 4 V 2.62
4 Pd 0.0000 0.3396 0.0000 [4 per cell]  8 Ni 2.56-2.72, 2 V 2.59, 2 Pd 2.74

- Raw total energy: -6.2847 eV per atom
- ΔE_f: -0.86 eV/f.u.
- Distance to the lowest polymorph of the same formula: 0 meV per atom
- Magnetization: 0.000 μB/atom

=====

Here is a relaxed structure of CdPd3S from the Alexandria database. Energies are from GGA-PBE.

Cell lengths 4.5803, 6.8000, 5.8414 Å; angles 90.00, 90.01, 90.00 degrees
Closest atoms and distances in Å follow each position.
Space group Pc (No. 7)
Symmetry-distinct sites (fractional):
1 Cd 0.0000 0.2095 0.0000 [2 per cell]  7 Pd 2.78-3.00
2 Pd 0.4778 0.0009 0.7502 [2 per cell]  2 S 2.38
3 Pd 0.6991 0.4995 0.7497 [2 per cell]  2 S 2.33
4 Pd 0.9886 0.1990 0.4995 [2 per cell]  2 S 2.32-2.37
5 S 0.4831 0.2760 0.4989 [2 per cell]  6 Pd 2.32-2.38

- Raw total energy: -4.4189 eV per atom
- Distance to the lowest polymorph of the same formula: 0 meV per atom
- Formation energy without anion corrections: -0.2947 eV per atom
- Magnetization: 0.000 μB/atom

=====

The lowest raw total energy belongs to which entry? VNi3Pd2

=====

Which value of magnetization does entry 1 give? 0.000 μB/atom